Record 1
First-principles (PBE) data for a relaxed NaGe3Ir3 crystal, as listed in Alexandria via LeMat-Bulk.

abc: 6.7724 6.7724 8.4023
angles: 66.23 66.23 60.00
Positions (direct):
Ge 0.6518 0.8254 0.3040
Ge 0.2189 0.6518 0.3040
Ge 0.1746 0.7811 0.6960
Ge 0.7811 0.3482 0.6960
Ge 0.3482 0.1746 0.6960
Ge 0.8254 0.2189 0.3040
Ir 0.4438 0.2215 0.3630
Ir 0.9717 0.4438 0.3630
Ir 0.5562 0.7785 0.6370
Ir 0.0283 0.5562 0.6370
Ir 0.2215 0.9717 0.3630
Ir 0.7785 0.0283 0.6370
Na 0.6679 0.6679 0.9962
Na 0.3321 0.3321 0.0038

Values from the calculation:
space-group type: R-3
electronic total energy: -0.223 Ha/atom
calculated density: 9191 kg/m3
D(E_F): 0.48 states/eV/atom
ΔE to the lowest computed polymorph: 0.000 eV per atom
ΔE_f: -0.094 eV/atom
calculated volume: 295.4 Å³ per cell



Record 2
First-principles (PBE) data for a relaxed ZrOsPb3 crystal, as listed in Alexandria via LeMat-Bulk.

abc: 5.5977 5.5977 5.5977
angles: 90.00 90.00 90.00
Site moments in Bohr magnetons follow the coordinates.
Positions (direct):
Pb 0.0000 0.5000 0.0000  0.02
Pb 0.5000 0.0000 0.0000  0.01
Pb 0.0000 0.0000 0.5000  0.02
Os 0.5000 0.5000 0.5000  3.02
Zr 0.0000 0.0000 0.0000  0.25

Values from the calculation:
space-group type: Pm-3m
electronic total energy: -0.168 Ha/atom
calculated density: 8549 kg/m3
D(E_F): 1.78 states/eV/atom
ΔE to the lowest computed polymorph: 0.628 eV per atom
ΔE_f: 1.611 eV/atom
calculated volume: 175.4 Å³ per cell



Record 3
First-principles (PBE) data for a relaxed LiCd2Sb crystal, as listed in Alexandria via LeMat-Bulk.

abc: 9.5723 9.5723 9.5723
angles: 20.34 20.34 20.34
Positions (direct):
Cd 0.0001 0.0001 0.0001
Cd 0.2463 0.2463 0.2463
Li 0.4986 0.4986 0.4986
Sb 0.7550 0.7550 0.7550

Values from the calculation:
space-group type: R3m
electronic total energy: -0.074 Ha/atom
calculated density: 6332 kg/m3
D(E_F): 0.63 states/eV/atom
raw formation energy: -0.059 eV per atom
calculated volume: 92.7 Å³ per cell



Record 4
First-principles (PBE) data for a relaxed ZnAgPt2 crystal, as listed in Alexandria via LeMat-Bulk.

abc: 4.7785 4.7785 4.7785
angles: 129.85 129.85 73.64
Positions (direct):
Pt 0.0000 0.0000 0.0000
Pt 0.5000 0.5000 0.0000
Zn 0.2500 0.7500 0.5000
Ag 0.7500 0.2500 0.5000

Values from the calculation:
space-group type: I4/mmm
electronic total energy: -0.157 Ha/atom
calculated density: 14911 kg/m3
D(E_F): 0.38 states/eV/atom
ΔE_f: -0.225 eV/atom
calculated volume: 62.7 Å³ per cell



Record 5
First-principles (PBE) data for a relaxed BaSmAg2Br8 crystal, as listed in Alexandria via LeMat-Bulk.

abc: 7.2558 7.2558 9.1094
angles: 113.47 113.47 90.00
Positions (direct):
Br 0.3121 0.9528 0.3258
Br 0.6269 0.6879 0.6742
Br 0.7189 0.2498 0.8634
Br 0.7502 0.8555 0.1366
Br 0.0137 0.3731 0.3258
Br 0.3864 0.2811 0.1366
Br 0.0472 0.9863 0.6742
Br 0.1445 0.6136 0.8634
Sm 0.0000 0.0000 0.0000
Ag 0.2500 0.7500 0.5000
Ag 0.5000 0.5000 0.0000
Ba 0.7500 0.2500 0.5000

Values from the calculation:
space-group type: I-4
electronic total energy: -0.124 Ha/atom
calculated density: 4788 kg/m3
D(E_F): 0.87 states/eV/atom
raw formation energy: -1.230 eV per atom
calculated volume: 396.3 Å³ per cell



Record 6
First-principles (PBE) data for a relaxed Pa2CuAu crystal, as listed in Alexandria via LeMat-Bulk.

abc: 3.1378 3.1378 10.1434
angles: 81.10 81.10 60.00
Positions (direct):
Pa 0.7462 0.7462 0.7614
Pa 0.2538 0.2538 0.2386
Cu 0.0000 0.0000 0.0000
Au 0.5000 0.5000 0.5000

Values from the calculation:
space-group type: R-3m
electronic total energy: -0.240 Ha/atom
calculated density: 14100 kg/m3
D(E_F): 1.60 states/eV/atom
ΔE to the lowest computed polymorph: 0.135 eV per atom
ΔE_f: 0.049 eV/atom
calculated volume: 85.1 Å³ per cell



Record 7
First-principles (PBE) data for a relaxed MgScSiPt crystal, as listed in Alexandria via LeMat-Bulk.

abc: 4.5938 4.5938 4.5938
angles: 60.00 60.00 60.00
Positions (direct):
Si 0.2500 0.2500 0.2500
Mg 0.0000 0.0000 0.0000
Pt 0.7500 0.7500 0.7500
Sc 0.5000 0.5000 0.5000

Values from the calculation:
space-group type: F-43m
electronic total energy: -0.204 Ha/atom
calculated density: 7084 kg/m3
D(E_F): 0.58 states/eV/atom
raw formation energy: -0.693 eV per atom
calculated volume: 68.5 Å³ per cell



Record 8
First-principles (PBE) data for a relaxed La2Si3Au5 crystal, as listed in Alexandria via LeMat-Bulk.

abc: 4.3849 4.3849 10.8532
angles: 90.00 90.00 90.00
Positions (direct):
Au 0.0000 0.5000 0.1646
Au 0.0000 0.0000 0.0000
Au 0.5000 0.5000 0.5000
Au 0.5000 0.5000 0.0000
Au 0.5000 0.0000 0.8354
Si 0.5000 0.0000 0.6168
Si 0.0000 0.5000 0.3832
Si 0.0000 0.0000 0.5000
La 0.5000 0.0000 0.2541
La 0.0000 0.5000 0.7459

Values from the calculation:
space-group type: P-4m2
electronic total energy: -0.175 Ha/atom
calculated density: 10718 kg/m3
D(E_F): 0.52 states/eV/atom
raw formation energy: -0.501 eV per atom
ΔE to the lowest computed polymorph: 0.134 eV per atom
calculated volume: 208.7 Å³ per cell



Q: Which of these has the highest D(E_F)?
A: ZrOsPb3